No. 1
Compound: SnIrO4
Source: OQMD
Functional: GGA-PBE
Structure: relaxed

Summary:
Symmetry: P2/m (10)
VASP energy, eV per atom: -6.56

Lattice parameters (Å, degrees): 4.634 3.221 4.651 90.00 90.05 90.00
Sites, in units of the cell vectors:
Ir 0.000 0.500 0.000
O 0.184 0.000 0.183
O 0.302 0.500 0.696
O 0.698 0.500 0.304
O 0.816 0.000 0.817
Sn 0.500 0.000 0.500


No. 2
Compound: Mg3Zr
Source: OQMD
Functional: GGA-PBE
Structure: relaxed

Summary:
Symmetry: P6_3/mmc (194)
VASP energy, eV per atom: -3.26

Lattice parameters (Å, degrees): 6.326 6.326 5.020 90.00 90.00 120.00
Sites, in units of the cell vectors:
Mg 0.000 0.500 0.000
Mg 0.500 0.500 0.000
Mg 0.333 0.166 0.500
Mg 0.834 0.166 0.500
Mg 0.834 0.667 0.500
Mg 0.500 0.000 0.000
Zr 0.000 0.000 0.000
Zr 0.333 0.667 0.500


No. 3
Compound: AcPrPO
Source: OQMD
Functional: GGA-PBE
Structure: relaxed

Summary:
Symmetry: Pmc2_1 (26)
VASP energy, eV per atom: -6.73

Lattice parameters (Å, degrees): 4.474 7.987 6.258 90.00 90.00 90.00
Sites, in units of the cell vectors:
Ac 0.000 0.800 0.942
Ac 0.000 0.200 0.442
O 0.500 0.332 0.375
O 0.500 0.668 0.875
Pr 0.500 0.380 0.998
Pr 0.500 0.620 0.498
P 0.000 0.826 0.440
P 0.000 0.174 0.940


No. 4
Compound: KAgGe
Source: OQMD
Functional: GGA-PBE
Structure: relaxed

Summary:
Symmetry: F-43m (216)
VASP energy, eV per atom: -2.00

Lattice parameters (Å, degrees): 5.188 5.188 5.188 60.00 60.00 60.00
Sites, in units of the cell vectors:
Ag 0.250 0.250 0.250
Ge 0.750 0.750 0.750
K 0.000 0.000 0.000


No. 5
Compound: ScTc2B2
Source: OQMD
Functional: GGA-PBE
Structure: relaxed

Summary:
Symmetry: I4/mmm (139)
VASP energy, eV per atom: -8.44

Lattice parameters (Å, degrees): 5.389 5.389 5.389 140.78 140.78 56.67
Sites, in units of the cell vectors:
Tc 0.750 0.250 0.500
Tc 0.250 0.750 0.500
B 0.406 0.406 0.000
B 0.594 0.594 0.000
Sc 0.000 0.000 0.000


No. 6
Compound: TbTlZnSe3
Source: OQMD
Functional: GGA-PBE
Structure: relaxed

Summary:
Symmetry: Pnma (62)
VASP energy, eV per atom: -4.24

Lattice parameters (Å, degrees): 14.977 4.137 11.135 90.00 90.00 90.00
Sites, in units of the cell vectors:
Se 0.403 0.750 0.079
Se 0.920 0.250 0.114
Se 0.420 0.250 0.386
Se 0.361 0.250 0.748
Se 0.080 0.750 0.886
Se 0.639 0.750 0.252
Se 0.097 0.250 0.579
Se 0.903 0.750 0.421
Se 0.139 0.750 0.248
Se 0.580 0.750 0.614
Se 0.597 0.250 0.921
Se 0.861 0.250 0.752
Tl 0.742 0.250 0.463
Tl 0.242 0.250 0.037
Tl 0.758 0.750 0.963
Tl 0.258 0.750 0.537
Tb 0.475 0.750 0.844
Tb 0.525 0.250 0.156
Tb 0.975 0.750 0.656
Tb 0.025 0.250 0.344
Zn 0.018 0.750 0.099
Zn 0.518 0.750 0.401
Zn 0.482 0.250 0.599
Zn 0.982 0.250 0.901


No. 7
Compound: CoAg2W
Source: OQMD
Functional: GGA-PBE
Structure: relaxed

Summary:
Symmetry: F-43m (216)
Energy relative to the elements, eV/atom: 0.73

Lattice parameters (Å, degrees): 4.433 4.433 4.433 60.00 60.00 60.00
Sites, in units of the cell vectors:
Ag 0.000 0.000 0.000
Ag 0.750 0.750 0.750
W 0.500 0.500 0.500
Co 0.250 0.250 0.250


No. 8
Compound: LuReSb2
Source: OQMD
Functional: GGA-PBE
Structure: relaxed

Summary:
Symmetry: F-43m (216)
VASP energy, eV per atom: -5.99

Lattice parameters (Å, degrees): 4.948 4.948 4.948 60.00 60.00 60.00
Sites, in units of the cell vectors:
Sb 0.000 0.000 0.000
Sb 0.750 0.750 0.750
Re 0.500 0.500 0.500
Lu 0.250 0.250 0.250


No. 9
Compound: AsH6PbAu
Source: OQMD
Functional: GGA-PBE
Structure: relaxed

Summary:
Symmetry: F-43m (216)
VASP energy, eV per atom: -2.83

Lattice parameters (Å, degrees): 5.367 5.367 5.367 60.00 60.00 60.00
Sites, in units of the cell vectors:
H 0.270 0.730 0.730
H 0.730 0.730 0.270
H 0.730 0.270 0.730
H 0.730 0.270 0.270
H 0.270 0.270 0.730
H 0.270 0.730 0.270
Au 0.500 0.500 0.500
As 0.750 0.750 0.750
Pb 0.250 0.250 0.250


No. 10
Compound: Sr2CuSbP
Source: OQMD
Functional: GGA-PBE
Structure: relaxed

Summary:
Symmetry: Cmc2_1 (36)
VASP energy, eV per atom: -4.12

Lattice parameters (Å, degrees): 8.915 8.915 7.822 90.00 90.00 153.40
Sites, in units of the cell vectors:
Cu 0.872 0.128 0.371
Cu 0.128 0.872 0.871
Sb 0.112 0.888 0.539
Sb 0.888 0.112 0.039
Sr 0.241 0.759 0.197
Sr 0.759 0.241 0.697
Sr 0.487 0.513 0.764
Sr 0.513 0.487 0.264
P 0.361 0.639 0.494
P 0.639 0.361 0.994


No. 11
Compound: PrGaGeAu2
Source: OQMD
Functional: GGA-PBE
Structure: relaxed

Summary:
Symmetry: P4/nmm (129)
VASP energy, eV per atom: -4.39

Lattice parameters (Å, degrees): 4.491 4.491 10.553 90.00 90.00 90.00
Sites, in units of the cell vectors:
Ge 0.000 0.000 0.500
Ge 0.500 0.500 0.500
Pr 0.000 0.500 0.751
Pr 0.500 0.000 0.249
Ga 0.500 0.000 0.868
Ga 0.000 0.500 0.132
Au 0.500 0.500 0.000
Au 0.500 0.000 0.630
Au 0.000 0.500 0.370
Au 0.000 0.000 0.000


No. 12
Compound: Ba2H6PdPt
Source: OQMD
Functional: GGA-PBE
Structure: relaxed

Summary:
Symmetry: Fm-3m (225)
VASP energy, eV per atom: -4.02

Lattice parameters (Å, degrees): 5.650 5.650 5.650 60.00 60.00 60.00
Sites, in units of the cell vectors:
Pd 0.500 0.500 0.500
Pt 0.000 0.000 0.000
H 0.229 0.771 0.229
H 0.771 0.229 0.229
H 0.771 0.771 0.229
H 0.229 0.771 0.771
H 0.229 0.229 0.771
H 0.771 0.229 0.771
Ba 0.750 0.750 0.750
Ba 0.250 0.250 0.250


| no. | volume (Å³ per cell) |
| --- | --- |
| 1 | 69.4 |
| 2 | 174.0 |
| 3 | 223.6 |
| 4 | 98.7 |
| 5 | 62.1 |
| 6 | 689.8 |
| 7 | 61.6 |
| 8 | 85.6 |
| 9 | 109.3 |
| 10 | 278.3 |
| 11 | 212.9 |
| 12 | 127.5 |